[1]
First-principles (GGA-PBE) data for crystalline KYNiSe3 at its relaxed geometry, as listed in the Open Quantum Materials Database.

Results
As for the space group: P2_1/m, No. 11. Its magnetic moment is 2.65 μB/cell. The volume comes out at 28.21 A^3/atom. Its uncorrected energy is -5.12 eV/atom.

a = 8.569 Å, b = 4.059 Å, c = 10.344 Å
α = 90.00°, β = 109.79°, γ = 90.00°
Element x y z (fractional)
Se (0.453, 0.750, 0.649)
Y (0.312, 0.750, 0.360)
Se (0.069, 0.250, 0.323)
K (0.746, 0.750, 0.215)
Se (0.205, 0.750, 0.054)
Ni (0.925, 0.750, 0.909)
Se (0.547, 0.250, 0.351)
Ni (0.075, 0.250, 0.091)
Se (0.931, 0.750, 0.677)
K (0.254, 0.250, 0.785)
Se (0.795, 0.250, 0.946)
Y (0.688, 0.250, 0.640)

---

[2]
First-principles (GGA-PBE) data for crystalline KYNiSe3 at its relaxed geometry, as listed in the Open Quantum Materials Database.

Results
As for the space group: C2/m, No. 12. Its magnetic moment is 0.85 μB/cell. The volume comes out at 24.95 A^3/atom. Its uncorrected energy is -4.97 eV/atom.

a = 8.558 Å, b = 8.558 Å, c = 8.746 Å
α = 101.74°, β = 101.74°, γ = 28.56°
Element x y z (fractional)
Se (0.353, 0.353, 0.207)
Se (0.647, 0.647, 0.793)
Se (0.345, 0.345, 0.642)
K (0.856, 0.856, 0.927)
Ni (0.501, 0.501, 0.298)
Ni (0.499, 0.499, 0.702)
K (0.144, 0.144, 0.073)
Y (0.169, 0.169, 0.590)
Se (0.500, 0.500, 0.000)
Se (0.655, 0.655, 0.358)
Y (0.831, 0.831, 0.410)
Se (0.000, 0.000, 0.500)

---

[3]
First-principles (GGA-PBE) data for crystalline KZnNiSe3 at its relaxed geometry, as listed in the Open Quantum Materials Database.

Results
As for the space group: Cmcm, No. 63. Its magnetic moment is 0.04 μB/cell. The volume comes out at 23.74 A^3/atom. Its uncorrected energy is -3.60 eV/atom.

a = 7.405 Å, b = 7.405 Å, c = 10.452 Å
α = 90.00°, β = 90.00°, γ = 150.20°
Element x y z (fractional)
Se (0.893, 0.107, 0.465)
Ni (0.500, 0.500, 0.500)
K (0.251, 0.749, 0.250)
Se (0.107, 0.893, 0.535)
Ni (0.500, 0.500, 0.000)
Se (0.565, 0.435, 0.250)
Se (0.435, 0.565, 0.750)
Se (0.893, 0.107, 0.035)
Zn (0.039, 0.961, 0.750)
Se (0.107, 0.893, 0.965)
K (0.749, 0.251, 0.750)
Zn (0.961, 0.039, 0.250)

---

[4]
First-principles (GGA-PBE) data for crystalline KZrNiSe3 at its relaxed geometry, as listed in the Open Quantum Materials Database.

Results
As for the space group: P2_1/m, No. 11. Its magnetic moment is 0.82 μB/cell. The volume comes out at 25.07 A^3/atom. Its uncorrected energy is -5.38 eV/atom.

a = 8.592 Å, b = 3.846 Å, c = 9.912 Å
α = 90.00°, β = 113.29°, γ = 90.00°
Element x y z (fractional)
Zr (0.195, 0.750, 0.669)
Se (0.720, 0.250, 0.042)
Se (0.047, 0.750, 0.361)
Se (0.280, 0.750, 0.958)
Se (0.405, 0.250, 0.656)
Se (0.595, 0.750, 0.344)
K (0.257, 0.250, 0.227)
K (0.743, 0.750, 0.773)
Zr (0.805, 0.250, 0.331)
Ni (0.586, 0.750, 0.095)
Ni (0.414, 0.250, 0.905)
Se (0.953, 0.250, 0.639)

---

[5]
First-principles (GGA-PBE) data for crystalline KSi5Ni3 at its relaxed geometry, as listed in the Open Quantum Materials Database.

Results
As for the space group: P6/mmm, No. 191. Its magnetic moment is 0.01 μB/cell. The volume comes out at 17.87 A^3/atom. Its uncorrected energy is -5.08 eV/atom.

a = 4.674 Å, b = 4.674 Å, c = 8.500 Å
α = 90.00°, β = 90.00°, γ = 120.00°
Element x y z (fractional)
K (0.000, 0.000, 0.000)
Si (0.333, 0.667, 0.738)
Ni (0.000, 0.500, 0.500)
Si (0.667, 0.333, 0.262)
Ni (0.500, 0.000, 0.500)
Si (0.000, 0.000, 0.500)
Si (0.667, 0.333, 0.738)
Ni (0.500, 0.500, 0.500)
Si (0.333, 0.667, 0.262)

---

[6]
First-principles (GGA-PBE) data for crystalline KTbSmNi2 at its relaxed geometry, as listed in the Open Quantum Materials Database.

Results
As for the space group: Amm2, No. 38. Its magnetic moment is 0.01 μB/cell. The volume comes out at 27.47 A^3/atom. Its uncorrected energy is -4.46 eV/atom.

a = 3.745 Å, b = 9.301 Å, c = 9.301 Å
α = 25.09°, β = 90.00°, γ = 90.00°
Element x y z (fractional)
Ni (0.000, 0.787, 0.787)
K (0.000, 0.003, 0.003)
Ni (0.000, 0.208, 0.208)
Sm (0.500, 0.333, 0.333)
Tb (0.500, 0.669, 0.669)

---

[7]
First-principles (GGA-PBE) data for crystalline KSmNiTe3 at its relaxed geometry, as listed in the Open Quantum Materials Database.

Results
As for the space group: P2_1/m, No. 11. Its magnetic moment is 0.00 μB/cell. The volume comes out at 33.70 A^3/atom. Its uncorrected energy is -4.38 eV/atom.

a = 9.701 Å, b = 4.310 Å, c = 10.245 Å
α = 90.00°, β = 109.25°, γ = 90.00°
Element x y z (fractional)
Te (0.910, 0.750, 0.639)
Te (0.461, 0.750, 0.678)
K (0.784, 0.750, 0.245)
Ni (0.905, 0.750, 0.884)
Sm (0.320, 0.750, 0.359)
Te (0.171, 0.750, 0.030)
Te (0.539, 0.250, 0.322)
Sm (0.680, 0.250, 0.641)
Te (0.829, 0.250, 0.970)
K (0.216, 0.250, 0.755)
Ni (0.095, 0.250, 0.116)
Te (0.090, 0.250, 0.361)

---

[8]
First-principles (GGA-PBE) data for crystalline KSmYNi2 at its relaxed geometry, as listed in the Open Quantum Materials Database.

Results
As for the space group: Amm2, No. 38. Its magnetic moment is 0.00 μB/cell. The volume comes out at 27.01 A^3/atom. Its uncorrected energy is -4.81 eV/atom.

a = 3.762 Å, b = 9.058 Å, c = 9.058 Å
α = 25.95°, β = 90.00°, γ = 90.00°
Element x y z (fractional)
Ni (0.000, 0.207, 0.207)
Sm (0.500, 0.334, 0.334)
K (0.000, 0.001, 0.001)
Ni (0.000, 0.791, 0.791)
Y (0.500, 0.666, 0.666)

---

[9]
First-principles (GGA-PBE) data for crystalline K2Ta2Ni3 at its relaxed geometry, as listed in the Open Quantum Materials Database.

Results
As for the space group: R3m, No. 160. Its magnetic moment is 0.03 μB/cell. The volume comes out at 25.92 A^3/atom. Its uncorrected energy is -5.85 eV/atom.

a = 11.909 Å, b = 11.909 Å, c = 11.909 Å
α = 20.51°, β = 20.51°, γ = 20.51°
Element x y z (fractional)
Ta (0.985, 0.985, 0.985)
Ni (0.663, 0.663, 0.663)
K (0.748, 0.748, 0.748)
Ta (0.594, 0.594, 0.594)
Ni (0.915, 0.915, 0.915)
Ni (0.290, 0.290, 0.290)
K (0.180, 0.180, 0.180)

---

[10]
First-principles (GGA-PBE) data for crystalline KTaNiTe3 at its relaxed geometry, as listed in the Open Quantum Materials Database.

Results
As for the space group: Cmcm, No. 63. Its magnetic moment is 0.00 μB/cell. The volume comes out at 27.36 A^3/atom. Its uncorrected energy is -5.12 eV/atom.

a = 8.559 Å, b = 8.559 Å, c = 10.353 Å
α = 90.00°, β = 90.00°, γ = 154.35°
Element x y z (fractional)
K (0.751, 0.249, 0.750)
Te (0.619, 0.381, 0.442)
Ni (0.474, 0.526, 0.750)
Ta (0.000, 0.000, 0.000)
Ta (0.000, 0.000, 0.500)
Te (0.381, 0.619, 0.558)
Ni (0.526, 0.474, 0.250)
K (0.249, 0.751, 0.250)
Te (0.073, 0.927, 0.750)
Te (0.381, 0.619, 0.942)
Te (0.619, 0.381, 0.058)
Te (0.927, 0.073, 0.250)

---

[11]
First-principles (GGA-PBE) data for crystalline KTbNi at its relaxed geometry, as listed in the Open Quantum Materials Database.

Results
As for the space group: F-43m, No. 216. Its magnetic moment is 0.18 μB/cell. The volume comes out at 26.87 A^3/atom. Its uncorrected energy is -2.52 eV/atom.

a = 4.849 Å, b = 4.849 Å, c = 4.849 Å
α = 60.00°, β = 60.00°, γ = 60.00°
Element x y z (fractional)
K (0.000, 0.000, 0.000)
Ni (0.250, 0.250, 0.250)
Tb (0.750, 0.750, 0.750)

---

[12]
First-principles (GGA-PBE) data for crystalline KTbNiTe3 at its relaxed geometry, as listed in the Open Quantum Materials Database.

Results
As for the space group: Pnma, No. 62. Its magnetic moment is 5.04 μB/cell. The volume comes out at 31.80 A^3/atom. The relative energy among the computed polymorphs is 33 meV per atom. Its uncorrected energy is -4.33 eV/atom.

a = 11.414 Å, b = 4.251 Å, c = 15.726 Å
α = 90.00°, β = 90.00°, γ = 90.00°
Element x y z (fractional)
Te (0.916, 0.750, 0.617)
Tb (0.013, 0.750, 0.252)
Ni (0.260, 0.250, 0.281)
Te (0.559, 0.750, 0.621)
Te (0.059, 0.750, 0.879)
Tb (0.513, 0.750, 0.248)
Tb (0.487, 0.250, 0.752)
Ni (0.740, 0.750, 0.719)
Te (0.762, 0.750, 0.314)
Ni (0.240, 0.750, 0.781)
Te (0.584, 0.250, 0.117)
Tb (0.987, 0.250, 0.748)
K (0.765, 0.750, 0.994)
Ni (0.760, 0.250, 0.219)
K (0.265, 0.750, 0.506)
Te (0.262, 0.750, 0.186)
Te (0.238, 0.250, 0.686)
K (0.735, 0.250, 0.494)
Te (0.084, 0.250, 0.383)
Te (0.941, 0.250, 0.121)
Te (0.738, 0.250, 0.814)
Te (0.441, 0.250, 0.379)
Te (0.416, 0.750, 0.883)
K (0.235, 0.250, 0.006)

---

[13]
First-principles (GGA-PBE) data for crystalline KTbNiTe3 at its relaxed geometry, as listed in the Open Quantum Materials Database.

Results
As for the space group: C2/m, No. 12. Its magnetic moment is 0.19 μB/cell. The volume comes out at 30.40 A^3/atom. The relative energy among the computed polymorphs is 159 meV per atom. Its uncorrected energy is -4.21 eV/atom.

a = 9.063 Å, b = 9.063 Å, c = 9.315 Å
α = 99.83°, β = 99.83°, γ = 28.97°
Element x y z (fractional)
Tb (0.170, 0.170, 0.090)
K (0.146, 0.146, 0.578)
Ni (0.501, 0.501, 0.831)
Te (0.358, 0.358, 0.702)
Ni (0.499, 0.499, 0.169)
Te (0.347, 0.347, 0.144)
Te (0.642, 0.642, 0.298)
Te (0.000, 0.000, 0.000)
K (0.854, 0.854, 0.422)
Te (0.653, 0.653, 0.856)
Te (0.500, 0.500, 0.500)
Tb (0.830, 0.830, 0.910)

---

[14]
First-principles (GGA-PBE) data for crystalline KTbNiTe3 at its relaxed geometry, as listed in the Open Quantum Materials Database.

Results
As for the space group: Pnma, No. 62. Its magnetic moment is 0.00 μB/cell. The volume comes out at 32.93 A^3/atom. The relative energy among the computed polymorphs is 2 meV per atom. Its uncorrected energy is -4.36 eV/atom.

a = 16.203 Å, b = 4.283 Å, c = 11.390 Å
α = 90.00°, β = 90.00°, γ = 90.00°
Element x y z (fractional)
Te (0.605, 0.250, 0.918)
Ni (0.513, 0.750, 0.389)
Te (0.639, 0.750, 0.255)
Tb (0.479, 0.750, 0.843)
Te (0.931, 0.250, 0.096)
Ni (0.487, 0.250, 0.611)
Tb (0.021, 0.250, 0.343)
Te (0.139, 0.750, 0.245)
K (0.771, 0.750, 0.974)
Ni (0.987, 0.250, 0.889)
Te (0.069, 0.750, 0.904)
Tb (0.521, 0.250, 0.157)
Te (0.361, 0.250, 0.745)
K (0.229, 0.250, 0.026)
Tb (0.979, 0.750, 0.657)
Te (0.569, 0.750, 0.596)
Te (0.395, 0.750, 0.082)
Te (0.861, 0.250, 0.755)
Te (0.105, 0.250, 0.582)
Ni (0.013, 0.750, 0.111)
K (0.271, 0.750, 0.526)
Te (0.895, 0.750, 0.418)
K (0.729, 0.250, 0.474)
Te (0.431, 0.250, 0.404)

---

[15]
First-principles (GGA-PBE) data for crystalline KTbNiTe3 at its relaxed geometry, as listed in the Open Quantum Materials Database.

Results
As for the space group: Pnma, No. 62. Its magnetic moment is 2.77 μB/cell. The volume comes out at 30.78 A^3/atom. The relative energy among the computed polymorphs is 91 meV per atom. Its uncorrected energy is -4.27 eV/atom.

a = 10.729 Å, b = 4.330 Å, c = 15.899 Å
α = 90.00°, β = 90.00°, γ = 90.00°
Element x y z (fractional)
Tb (0.343, 0.750, 0.053)
Te (0.031, 0.250, 0.379)
Ni (0.346, 0.250, 0.879)
K (0.457, 0.250, 0.333)
Te (0.469, 0.750, 0.879)
Te (0.671, 0.250, 0.511)
Te (0.727, 0.750, 0.272)
Te (0.773, 0.250, 0.772)
Te (0.171, 0.250, 0.989)
Te (0.329, 0.750, 0.489)
Tb (0.157, 0.250, 0.553)
Tb (0.657, 0.250, 0.947)
Ni (0.154, 0.750, 0.379)
Te (0.227, 0.750, 0.228)
Ni (0.654, 0.750, 0.121)
K (0.957, 0.250, 0.167)
Ni (0.846, 0.250, 0.621)
Te (0.829, 0.750, 0.011)
Te (0.531, 0.250, 0.121)
Te (0.273, 0.250, 0.728)
K (0.043, 0.750, 0.833)
Te (0.969, 0.750, 0.621)
Tb (0.843, 0.750, 0.447)
K (0.543, 0.750, 0.667)

---

[16]
First-principles (GGA-PBE) data for crystalline KTbNiTe3 at its relaxed geometry, as listed in the Open Quantum Materials Database.

Results
As for the space group: Cmcm, No. 63. Its magnetic moment is 0.01 μB/cell. The volume comes out at 31.94 A^3/atom. The relative energy among the computed polymorphs is 18 meV per atom. Its uncorrected energy is -4.35 eV/atom.

a = 8.779 Å, b = 8.779 Å, c = 10.685 Å
α = 90.00°, β = 90.00°, γ = 152.27°
Element x y z (fractional)
Te (0.381, 0.619, 0.911)
Te (0.918, 0.082, 0.250)
Ni (0.490, 0.510, 0.750)
Te (0.619, 0.381, 0.089)
Te (0.082, 0.918, 0.750)
Tb (0.000, 0.000, 0.000)
Tb (0.000, 0.000, 0.500)
K (0.254, 0.746, 0.250)
Te (0.619, 0.381, 0.411)
K (0.746, 0.254, 0.750)
Ni (0.510, 0.490, 0.250)
Te (0.381, 0.619, 0.589)

---

[17]
First-principles (GGA-PBE) data for crystalline KTbNiTe3 at its relaxed geometry, as listed in the Open Quantum Materials Database.

Results
As for the space group: Pnma, No. 62. Its magnetic moment is 0.01 μB/cell. The volume comes out at 30.16 A^3/atom. The relative energy among the computed polymorphs is 60 meV per atom. Its uncorrected energy is -4.30 eV/atom.

a = 4.500 Å, b = 11.809 Å, c = 13.620 Å
α = 90.00°, β = 90.00°, γ = 90.00°
Element x y z (fractional)
K (0.250, 0.836, 0.004)
Te (0.750, 0.619, 0.051)
Ni (0.250, 0.270, 0.787)
K (0.750, 0.664, 0.504)
Te (0.250, 0.381, 0.949)
Te (0.250, 0.881, 0.551)
Ni (0.750, 0.730, 0.213)
Te (0.750, 0.119, 0.449)
Te (0.750, 0.445, 0.318)
Tb (0.250, 0.999, 0.332)
Ni (0.750, 0.230, 0.287)
Te (0.750, 0.276, 0.704)
K (0.750, 0.164, 0.996)
Te (0.250, 0.224, 0.204)
Te (0.750, 0.945, 0.182)
Tb (0.750, 0.501, 0.832)
Tb (0.750, 0.001, 0.668)
K (0.250, 0.336, 0.496)
Te (0.750, 0.776, 0.796)
Ni (0.250, 0.770, 0.713)
Tb (0.250, 0.499, 0.168)
Te (0.250, 0.055, 0.818)
Te (0.250, 0.555, 0.682)
Te (0.250, 0.724, 0.296)

---

[18]
First-principles (GGA-PBE) data for crystalline KTbNiTe3 at its relaxed geometry, as listed in the Open Quantum Materials Database.

Results
As for the space group: P2_1/m, No. 11. Its magnetic moment is 0.00 μB/cell. The volume comes out at 33.14 A^3/atom. The relative energy among the computed polymorphs is 0 meV per atom. Its uncorrected energy is -4.37 eV/atom.

a = 9.662 Å, b = 4.289 Å, c = 10.214 Å
α = 90.00°, β = 110.01°, γ = 90.00°
Element x y z (fractional)
Tb (0.679, 0.250, 0.640)
Te (0.827, 0.250, 0.970)
Te (0.096, 0.250, 0.366)
Ni (0.098, 0.250, 0.117)
Te (0.535, 0.250, 0.322)
Tb (0.321, 0.750, 0.360)
Te (0.904, 0.750, 0.634)
Te (0.465, 0.750, 0.678)
K (0.785, 0.750, 0.247)
Te (0.173, 0.750, 0.030)
Ni (0.902, 0.750, 0.883)
K (0.215, 0.250, 0.753)

---

[19]
First-principles (GGA-PBE) data for crystalline KTbTmNi2 at its relaxed geometry, as listed in the Open Quantum Materials Database.

Results
As for the space group: Amm2, No. 38. Its magnetic moment is 0.01 μB/cell. The volume comes out at 26.19 A^3/atom. Its uncorrected energy is -4.43 eV/atom.

a = 3.662 Å, b = 9.093 Å, c = 9.093 Å
α = 25.63°, β = 90.00°, γ = 90.00°
Element x y z (fractional)
Tm (0.500, 0.671, 0.671)
K (0.000, 0.002, 0.002)
Ni (0.000, 0.205, 0.205)
Tb (0.500, 0.331, 0.331)
Ni (0.000, 0.791, 0.791)

---

[20]
First-principles (GGA-PBE) data for crystalline KNi3Te5 at its relaxed geometry, as listed in the Open Quantum Materials Database.

Results
As for the space group: P6/mmm, No. 191. Its magnetic moment is 0.00 μB/cell. The volume comes out at 25.77 A^3/atom. Its uncorrected energy is -3.94 eV/atom.

a = 5.876 Å, b = 5.876 Å, c = 7.757 Å
α = 90.00°, β = 90.00°, γ = 120.00°
Element x y z (fractional)
Te (0.667, 0.333, 0.748)
Te (0.333, 0.667, 0.252)
Te (0.333, 0.667, 0.748)
K (0.000, 0.000, 0.000)
Te (0.000, 0.000, 0.500)
Ni (0.500, 0.000, 0.500)
Ni (0.500, 0.500, 0.500)
Ni (0.000, 0.500, 0.500)
Te (0.667, 0.333, 0.252)